# LiCdTe2

A geometry-optimized LiCdTe2 structure (PBE, Alexandria). Values from VASP.

Output
- Total magnetic moment: 0.00 μB/atom
- Volume: 26.5 Å³/atom
- E: -2.32 eV/atom
- DOS at the Fermi energy: 1.98 states/eV per cell

```
&SYSTEM
  ibrav = 0, nat = 4, ntyp = 3
/
ATOMIC_SPECIES
Li 6.94 Li.upf
Cd 112.41 Cd.upf
Te 127.60 Te.upf
ATOMIC_POSITIONS crystal
Li 0.0000 0.0000 0.0000
Cd 0.7500 0.7500 0.7500
Te 0.2500 0.2500 0.2500
Te 0.5000 0.5000 0.5000
CELL_PARAMETERS angstrom
0.0000 3.7581 3.7581
3.7581 0.0000 3.7581
3.7581 3.7581 0.0000
```

---

# LiTlCdTe2

A geometry-optimized LiTlCdTe2 structure (PBE, Alexandria). Values from VASP.

Output
- Total magnetic moment: 0.00 μB/atom
- Volume: 32.7 Å³/atom
- E: -2.86 eV/atom
- DOS at the Fermi energy: 0.00 states/eV per cell

```
&SYSTEM
  ibrav = 0, nat = 10, ntyp = 4
/
ATOMIC_SPECIES
Li 6.94 Li.upf
Tl 204.38 Tl.upf
Cd 112.41 Cd.upf
Te 127.60 Te.upf
ATOMIC_POSITIONS crystal
Li 0.1400 0.1400 0.4292
Li 0.8600 0.8600 0.5708
Tl 0.3088 0.3088 0.8682
Tl 0.6912 0.6912 0.1318
Cd 0.4535 0.4535 0.3102
Cd 0.5465 0.5465 0.6898
Te 0.0728 0.0728 0.8487
Te 0.3200 0.3200 0.4132
Te 0.6800 0.6800 0.5868
Te 0.9272 0.9272 0.1513
CELL_PARAMETERS angstrom
7.5086 -2.3619 0.0000
7.5086 2.3619 0.0000
-7.0481 0.0000 9.2263
```

---

# Li2CdTeW

A geometry-optimized Li2CdTeW structure (PBE, Alexandria). Values from VASP.

Output
- Total magnetic moment: 0.24 μB/atom
- Volume: 24.2 Å³/atom
- E: -3.47 eV/atom
- DOS at the Fermi energy: 3.35 states/eV per cell

```
&SYSTEM
  ibrav = 0, nat = 5, ntyp = 4
/
ATOMIC_SPECIES
Li 6.94 Li.upf
Cd 112.41 Cd.upf
Te 127.60 Te.upf
W 183.84 W.upf
ATOMIC_POSITIONS crystal
Li 0.0000 0.5000 0.0000
Li 0.5000 0.0000 0.0000
Cd 0.0000 0.0000 0.5000
Te 0.5000 0.5000 0.0000
W 0.5000 0.5000 0.5000
CELL_PARAMETERS angstrom
4.8601 0.0000 0.0000
0.0000 4.8601 0.0000
0.0000 0.0000 5.1265
```

---

# LiZnCd2Te

A geometry-optimized LiZnCd2Te structure (PBE, Alexandria). Values from VASP.

Output
- Total magnetic moment: 0.00 μB/atom
- Volume: 26.6 Å³/atom
- E: -1.45 eV/atom
- DOS at the Fermi energy: 2.35 states/eV per cell

```
&SYSTEM
  ibrav = 0, nat = 5, ntyp = 4
/
ATOMIC_SPECIES
Li 6.94 Li.upf
Zn 65.41 Zn.upf
Cd 112.41 Cd.upf
Te 127.60 Te.upf
ATOMIC_POSITIONS crystal
Li 0.0000 0.0000 0.0000
Zn 0.5000 0.5000 0.5000
Cd 0.0000 0.5000 0.0000
Cd 0.5000 0.0000 0.0000
Te 0.0000 0.0000 0.5000
CELL_PARAMETERS angstrom
5.1338 0.0000 0.0000
0.0000 5.1338 0.0000
0.0000 0.0000 5.0464
```

---

# LiThCd2

A geometry-optimized LiThCd2 structure (PBE, Alexandria). Values from VASP.

Output
- Total magnetic moment: 0.00 μB/atom
- Volume: 24.7 Å³/atom
- E: -2.84 eV/atom
- DOS at the Fermi energy: 2.87 states/eV per cell

```
&SYSTEM
  ibrav = 0, nat = 4, ntyp = 3
/
ATOMIC_SPECIES
Li 6.94 Li.upf
Th 232.04 Th.upf
Cd 112.41 Cd.upf
ATOMIC_POSITIONS crystal
Li 0.0000 0.0000 0.0000
Th 0.1702 0.1702 0.5009
Cd 0.4076 0.4076 0.2242
Cd 0.5945 0.5945 0.7782
CELL_PARAMETERS angstrom
2.8844 -1.6576 0.0000
2.8844 1.6576 0.0000
-1.9561 0.0000 10.3492
```

---

# Li4ThCd8

A geometry-optimized Li4ThCd8 structure (PBE, Alexandria). Values from VASP.

Output
- Total magnetic moment: 0.00 μB/atom
- Volume: 20.4 Å³/atom
- E: -1.93 eV/atom
- DOS at the Fermi energy: 4.17 states/eV per cell

```
&SYSTEM
  ibrav = 0, nat = 13, ntyp = 3
/
ATOMIC_SPECIES
Li 6.94 Li.upf
Th 232.04 Th.upf
Cd 112.41 Cd.upf
ATOMIC_POSITIONS crystal
Li 0.0000 0.0000 0.5000
Li 0.0000 0.5000 0.0000
Li 0.5000 0.0000 0.0000
Li 0.5000 0.5000 0.5000
Th 0.0000 0.0000 0.0000
Cd 0.0000 0.3479 0.3479
Cd 0.0000 0.6521 0.6521
Cd 0.2854 0.5000 0.7854
Cd 0.3479 0.0000 0.3479
Cd 0.5000 0.2854 0.7854
Cd 0.5000 0.7146 0.2146
Cd 0.6521 0.0000 0.6521
Cd 0.7146 0.5000 0.2146
CELL_PARAMETERS angstrom
-5.0021 5.0021 2.6499
5.0021 -5.0021 2.6499
5.0021 5.0021 -2.6499
```

---

# LiTh2Cd

A geometry-optimized LiTh2Cd structure (PBE, Alexandria). Values from VASP.

Output
- Total magnetic moment: 0.00 μB/atom
- Volume: 29.7 Å³/atom
- E: -4.21 eV/atom
- DOS at the Fermi energy: 2.78 states/eV per cell

```
&SYSTEM
  ibrav = 0, nat = 4, ntyp = 3
/
ATOMIC_SPECIES
Li 6.94 Li.upf
Th 232.04 Th.upf
Cd 112.41 Cd.upf
ATOMIC_POSITIONS crystal
Li 0.0000 0.0000 0.0000
Th 0.0902 0.0902 0.0902
Th 0.9098 0.9098 0.9098
Cd 0.5000 0.5000 0.5000
CELL_PARAMETERS angstrom
1.6645 0.9610 12.3607
-1.6645 0.9610 12.3607
0.0000 -1.9220 12.3607
```

---

# LiThCd2

A geometry-optimized LiThCd2 structure (PBE, Alexandria). Values from VASP.

Output
- Total magnetic moment: 0.00 μB/atom
- Volume: 26.0 Å³/atom
- E: -2.84 eV/atom
- DOS at the Fermi energy: 2.92 states/eV per cell

```
&SYSTEM
  ibrav = 0, nat = 4, ntyp = 3
/
ATOMIC_SPECIES
Li 6.94 Li.upf
Th 232.04 Th.upf
Cd 112.41 Cd.upf
ATOMIC_POSITIONS crystal
Li 0.0000 0.0000 0.0000
Th 0.5000 0.5000 0.0000
Cd 0.0000 0.5000 0.5000
Cd 0.5000 0.0000 0.5000
CELL_PARAMETERS angstrom
5.5288 0.0000 0.0000
0.0000 5.5288 0.0000
0.0000 0.0000 3.4016
```

---

# LiThCd

A geometry-optimized LiThCd structure (PBE, Alexandria). Values from VASP.

Output
- Total magnetic moment: 0.00 μB/atom
- Volume: 24.8 Å³/atom
- E: -3.48 eV/atom
- DOS at the Fermi energy: 5.49 states/eV per cell

```
&SYSTEM
  ibrav = 0, nat = 6, ntyp = 3
/
ATOMIC_SPECIES
Li 6.94 Li.upf
Th 232.04 Th.upf
Cd 112.41 Cd.upf
ATOMIC_POSITIONS crystal
Li 0.2500 0.2500 0.0338
Li 0.7500 0.7500 0.9662
Th 0.2500 0.7500 0.6120
Th 0.7500 0.2500 0.3880
Cd 0.2500 0.7500 0.2194
Cd 0.7500 0.2500 0.7806
CELL_PARAMETERS angstrom
3.4619 0.0000 0.0000
0.0000 4.7686 0.0000
0.0000 0.0000 9.0297
```

---

# Li2Th2Cd15

A geometry-optimized Li2Th2Cd15 structure (PBE, Alexandria). Values from VASP.

Output
- Total magnetic moment: 0.00 μB/atom
- Volume: 22.7 Å³/atom
- E: -1.81 eV/atom
- DOS at the Fermi energy: 6.65 states/eV per cell

```
&SYSTEM
  ibrav = 0, nat = 19, ntyp = 3
/
ATOMIC_SPECIES
Li 6.94 Li.upf
Th 232.04 Th.upf
Cd 112.41 Cd.upf
ATOMIC_POSITIONS crystal
Li 0.1010 0.1010 0.1010
Li 0.8990 0.8990 0.8990
Th 0.3397 0.3397 0.3397
Th 0.6603 0.6603 0.6603
Cd 0.0000 0.0000 0.5000
Cd 0.0000 0.2939 0.7061
Cd 0.0000 0.5000 0.0000
Cd 0.0000 0.7061 0.2939
Cd 0.1543 0.6422 0.6422
Cd 0.2939 0.0000 0.7061
Cd 0.2939 0.7061 0.0000
Cd 0.3578 0.3578 0.8457
Cd 0.3578 0.8457 0.3578
Cd 0.5000 0.0000 0.0000
Cd 0.6422 0.1543 0.6422
Cd 0.6422 0.6422 0.1543
Cd 0.7061 0.0000 0.2939
Cd 0.7061 0.2939 0.0000
Cd 0.8457 0.3578 0.3578
CELL_PARAMETERS angstrom
5.0018 2.8878 4.9658
-5.0018 2.8878 4.9658
0.0000 -5.7756 4.9658
```

---

# LiThCd2

A geometry-optimized LiThCd2 structure (PBE, Alexandria). Values from VASP.

Output
- Total magnetic moment: 0.00 μB/atom
- Volume: 23.0 Å³/atom
- E: -2.97 eV/atom
- DOS at the Fermi energy: 2.70 states/eV per cell

```
&SYSTEM
  ibrav = 0, nat = 4, ntyp = 3
/
ATOMIC_SPECIES
Li 6.94 Li.upf
Th 232.04 Th.upf
Cd 112.41 Cd.upf
ATOMIC_POSITIONS crystal
Li 0.0000 0.0000 0.0000
Th 0.0000 0.0000 0.5000
Cd 0.5000 0.5000 0.2003
Cd 0.5000 0.5000 0.7997
CELL_PARAMETERS angstrom
3.4061 0.0000 0.0000
0.0000 3.4061 0.0000
0.0000 0.0000 7.9282
```

---

# Li2ThCd

A geometry-optimized Li2ThCd structure (PBE, Alexandria). Values from VASP.

Output
- Total magnetic moment: 0.00 μB/atom
- Volume: 21.9 Å³/atom
- E: -3.01 eV/atom
- DOS at the Fermi energy: 3.64 states/eV per cell

```
&SYSTEM
  ibrav = 0, nat = 4, ntyp = 3
/
ATOMIC_SPECIES
Li 6.94 Li.upf
Th 232.04 Th.upf
Cd 112.41 Cd.upf
ATOMIC_POSITIONS crystal
Li 0.0000 0.0000 0.1972
Li 0.0000 0.0000 0.8028
Th 0.5000 0.5000 0.5000
Cd 0.5000 0.5000 0.0000
CELL_PARAMETERS angstrom
3.4146 0.0000 0.0000
0.0000 3.4146 0.0000
0.0000 0.0000 7.5237
```